Model A:
# TaIrRu2 (PBEsol, optimized geometry)
# spin magnetization	0.00	μB/cell
data_TaIrRu2
_cell_length_a 3.8540
_cell_length_b 3.8540
_cell_length_c 7.7755
_cell_angle_alpha 90.00
_cell_angle_beta 90.00
_cell_angle_gamma 90.00
_space_group_name_H-M_alt 'I -4 m 2'
_space_group_IT_number 119
_space_group_name_Hall 'I -4 -2'
loop_
_atom_site_label
_atom_site_type_symbol
_atom_site_fract_x
_atom_site_fract_y
_atom_site_fract_z
_atom_site_occupancy
Ta1 Ta 0.0000 0.0000 0.0000 1
Ir1 Ir 0.0000 0.5000 0.7500 1
Ru1 Ru 0.0000 0.0000 0.5000 1
Ru2 Ru 0.0000 0.5000 0.2500 1

Model B:
# TaIrRu2 (PBEsol, optimized geometry)
# spin magnetization	0.00	μB/cell
data_TaIrRu2
_cell_length_a 2.7389
_cell_length_b 2.7389
_cell_length_c 7.7601
_cell_angle_alpha 90.00
_cell_angle_beta 90.00
_cell_angle_gamma 90.00
_space_group_name_H-M_alt 'P 4/m m m'
_space_group_IT_number 123
_space_group_name_Hall '-P 4 2'
loop_
_atom_site_label
_atom_site_type_symbol
_atom_site_fract_x
_atom_site_fract_y
_atom_site_fract_z
_atom_site_occupancy
Ta1 Ta 0.0000 0.0000 0.0000 1
Ir1 Ir 0.0000 0.0000 0.5000 1
Ru1 Ru 0.5000 0.5000 0.2624 1

Model C:
# TaIrRu2 (PBEsol, optimized geometry)
# spin magnetization	0.00	μB/cell
data_TaIrRu2
_cell_length_a 3.8636
_cell_length_b 3.8636
_cell_length_c 3.8543
_cell_angle_alpha 90.00
_cell_angle_beta 90.00
_cell_angle_gamma 90.00
_space_group_name_H-M_alt 'P 4/m m m'
_space_group_IT_number 123
_space_group_name_Hall '-P 4 2'
loop_
_atom_site_label
_atom_site_type_symbol
_atom_site_fract_x
_atom_site_fract_y
_atom_site_fract_z
_atom_site_occupancy
Ta1 Ta 0.0000 0.0000 0.0000 1
Ir1 Ir 0.5000 0.5000 0.0000 1
Ru1 Ru 0.0000 0.5000 0.5000 1

Which of them is least stable? Easy: model B.

Model A:
# Tl2IrRu (PBEsol, optimized geometry)
# spin magnetization	0.00	μB/cell
data_Tl2IrRu
_cell_length_a 6.0448
_cell_length_b 8.9911
_cell_length_c 3.0130
_cell_angle_alpha 90.00
_cell_angle_beta 118.45
_cell_angle_gamma 90.00
_space_group_name_H-M_alt 'C 1 2/m 1'
_space_group_IT_number 12
loop_
_space_group_symop_operation_xyz
'x,y,z'
'-x,-y,-z'
'-x,y,-z'
'x,-y,z'
'x+1/2,y+1/2,z'
'-x+1/2,-y+1/2,-z'
'-x+1/2,y+1/2,-z'
'x+1/2,-y+1/2,z'
loop_
_atom_site_label
_atom_site_type_symbol
_atom_site_fract_x
_atom_site_fract_y
_atom_site_fract_z
_atom_site_occupancy
Tl1 Tl 0.2500 0.2500 0.0000 1
Ir1 Ir 0.0000 0.0000 0.5000 1
Ru1 Ru 0.0000 0.5000 0.5000 1

Model B:
# Tl2IrRu (PBEsol, optimized geometry)
# spin magnetization	0.01	μB/cell
data_Tl2IrRu
_cell_length_a 3.0906
_cell_length_b 5.1796
_cell_length_c 8.9935
_cell_angle_alpha 90.00
_cell_angle_beta 90.00
_cell_angle_gamma 90.00
_space_group_name_H-M_alt 'C m m m'
_space_group_IT_number 65
_space_group_name_Hall '-C 2 2'
loop_
_atom_site_label
_atom_site_type_symbol
_atom_site_fract_x
_atom_site_fract_y
_atom_site_fract_z
_atom_site_occupancy
Tl1 Tl 0.0000 0.0000 0.2474 1
Ir1 Ir 0.0000 0.5000 0.5000 1
Ru1 Ru 0.0000 0.5000 0.0000 1

Which of them is least stable? Easy: model B.

Model A:
# IrRuW2 (PBEsol, optimized geometry)
# spin magnetization	0.00	μB/cell
data_IrRuW2
_cell_length_a 2.7490
_cell_length_b 3.8655
_cell_length_c 5.5035
_cell_angle_alpha 90.00
_cell_angle_beta 90.00
_cell_angle_gamma 90.00
_space_group_name_H-M_alt 'P m m m'
_space_group_IT_number 47
loop_
_space_group_symop_operation_xyz
'x,y,z'
'-x,-y,-z'
'-x,-y,z'
'x,y,-z'
'x,-y,-z'
'-x,y,z'
'-x,y,-z'
'x,-y,z'
loop_
_atom_site_label
_atom_site_type_symbol
_atom_site_fract_x
_atom_site_fract_y
_atom_site_fract_z
_atom_site_occupancy
Ir1 Ir 0.0000 0.0000 0.0000 1
Ru1 Ru 0.0000 0.0000 0.5000 1
W1 W 0.5000 0.5000 0.2530 1

Model B:
# IrRuW2 (PBEsol, optimized geometry)
# spin magnetization	0.00	μB/cell
data_IrRuW2
_cell_length_a 3.8911
_cell_length_b 3.8911
_cell_length_c 7.7257
_cell_angle_alpha 90.00
_cell_angle_beta 90.00
_cell_angle_gamma 90.00
_space_group_name_H-M_alt 'I 4/m m m'
_space_group_IT_number 139
_space_group_name_Hall '-I 4 2'
loop_
_atom_site_label
_atom_site_type_symbol
_atom_site_fract_x
_atom_site_fract_y
_atom_site_fract_z
_atom_site_occupancy
Ir1 Ir 0.0000 0.0000 0.0000 1
Ru1 Ru 0.0000 0.0000 0.5000 1
W1 W 0.0000 0.5000 0.2500 1

Which of them is least stable? Easy: model A.

Model A:
# IrRuW2 (PBEsol, optimized geometry)
# spin magnetization	0.00	μB/cell
data_IrRuW2
_cell_length_a 2.7532
_cell_length_b 2.7532
_cell_length_c 7.7203
_cell_angle_alpha 90.00
_cell_angle_beta 90.00
_cell_angle_gamma 90.00
_space_group_name_H-M_alt 'P 4/m m m'
_space_group_IT_number 123
_space_group_name_Hall '-P 4 2'
loop_
_atom_site_label
_atom_site_type_symbol
_atom_site_fract_x
_atom_site_fract_y
_atom_site_fract_z
_atom_site_occupancy
Ir1 Ir 0.0000 0.0000 0.0000 1
Ru1 Ru 0.0000 0.0000 0.5000 1
W1 W 0.5000 0.5000 0.2530 1

Model B:
# IrRuW2 (PBEsol, optimized geometry)
# spin magnetization	0.00	μB/cell
data_IrRuW2
_cell_length_a 2.7703
_cell_length_b 4.4363
_cell_length_c 4.7630
_cell_angle_alpha 90.00
_cell_angle_beta 90.00
_cell_angle_gamma 90.00
_space_group_name_H-M_alt 'P m m 2'
_space_group_IT_number 25
loop_
_space_group_symop_operation_xyz
'x,y,z'
'-x,-y,z'
'-x,y,z'
'x,-y,z'
loop_
_atom_site_label
_atom_site_type_symbol
_atom_site_fract_x
_atom_site_fract_y
_atom_site_fract_z
_atom_site_occupancy
Ir1 Ir 0.0000 0.0000 0.0000 1
Ru1 Ru 0.0000 0.5000 0.6393 1
W1 W 0.5000 0.0000 0.5006 1
W2 W 0.5000 0.5000 0.1470 1

Which of them is least stable? Easy: model A.

Model A:
# Sc3IrS (PBEsol, optimized geometry)
# spin magnetization	0.00	μB/cell
data_Sc3IrS
_cell_length_a 4.9600
_cell_length_b 4.9600
_cell_length_c 4.9600
_cell_angle_alpha 90.00
_cell_angle_beta 90.00
_cell_angle_gamma 90.00
_space_group_name_H-M_alt 'P m -3 m'
_space_group_IT_number 221
_space_group_name_Hall '-P 4 2 3'
loop_
_atom_site_label
_atom_site_type_symbol
_atom_site_fract_x
_atom_site_fract_y
_atom_site_fract_z
_atom_site_occupancy
Sc1 Sc 0.0000 0.0000 0.5000 1
Ir1 Ir 0.0000 0.0000 0.0000 1
S1 S 0.5000 0.5000 0.5000 1

Model B:
# Sc3IrS (PBEsol, optimized geometry)
# spin magnetization	0.00	μB/cell
data_Sc3IrS
_cell_length_a 4.6300
_cell_length_b 4.6300
_cell_length_c 4.6300
_cell_angle_alpha 90.00
_cell_angle_beta 90.00
_cell_angle_gamma 90.00
_space_group_name_H-M_alt 'P m -3 m'
_space_group_IT_number 221
_space_group_name_Hall '-P 4 2 3'
loop_
_atom_site_label
_atom_site_type_symbol
_atom_site_fract_x
_atom_site_fract_y
_atom_site_fract_z
_atom_site_occupancy
Sc1 Sc 0.0000 0.0000 0.5000 1
Ir1 Ir 0.5000 0.5000 0.5000 1
S1 S 0.0000 0.0000 0.0000 1

Which of them is least stable? Easy: model A.

Model A:
# Ir3SeS (PBEsol, optimized geometry)
# spin magnetization	0.00	μB/cell
data_Ir3SeS
_cell_length_a 4.3922
_cell_length_b 4.3922
_cell_length_c 4.3922
_cell_angle_alpha 90.00
_cell_angle_beta 90.00
_cell_angle_gamma 90.00
_space_group_name_H-M_alt 'P m -3 m'
_space_group_IT_number 221
_space_group_name_Hall '-P 4 2 3'
loop_
_atom_site_label
_atom_site_type_symbol
_atom_site_fract_x
_atom_site_fract_y
_atom_site_fract_z
_atom_site_occupancy
Ir1 Ir 0.0000 0.0000 0.5000 1
Se1 Se 0.5000 0.5000 0.5000 1
S1 S 0.0000 0.0000 0.0000 1

Model B:
# Ir3SeS (PBEsol, optimized geometry)
# spin magnetization	0.01	μB/cell
data_Ir3SeS
_cell_length_a 4.5452
_cell_length_b 4.5452
_cell_length_c 4.5452
_cell_angle_alpha 90.00
_cell_angle_beta 90.00
_cell_angle_gamma 90.00
_space_group_name_H-M_alt 'P m -3 m'
_space_group_IT_number 221
_space_group_name_Hall '-P 4 2 3'
loop_
_atom_site_label
_atom_site_type_symbol
_atom_site_fract_x
_atom_site_fract_y
_atom_site_fract_z
_atom_site_occupancy
Ir1 Ir 0.0000 0.0000 0.5000 1
Se1 Se 0.0000 0.0000 0.0000 1
S1 S 0.5000 0.5000 0.5000 1

Which of them is least stable? Easy: model B.